{"formula": "LaFe3O", "functional": "GGA+U", "state": "relaxed", "crystal_system": "cubic", "e_tot_ev_per_cell": -16.00, "m_tot_mub_per_fu": 8.1, "dos_at_fermi_per_ev_atom": 0.9143, "sg": "Pm-3m", "e_above_lowest_polymorph_mev_per_atom": 1969, "lattice": [[5.297, 0.000, 0.000], [0.000, 5.297, 0.000], [0.000, 0.000, 5.297]], "species": ["La", "Fe", "Fe", "Fe", "O"], "fractional_positions": [[0.000, 0.000, 0.000], [0.000, 0.000, 0.500], [0.000, 0.500, 0.000], [0.500, 0.000, 0.000], [0.500, 0.500, 0.500]]}